Crystalline AlHPd3 at its relaxed geometry, computed with PBE.

Cell and atoms, written as POSCAR:
```
AlHPd3
1.0
-3.323 -0.187 3.672
-2.880 -6.389 -2.932
4.699 -3.978 4.051
H Al Pd
4 4 12
direct
0.005 0.250 0.007
0.495 0.750 0.507
0.995 0.750 0.993
0.505 0.250 0.493
0.000 0.500 0.500
0.000 0.000 0.500
0.500 0.000 0.000
0.500 0.500 0.000
0.446 0.432 0.335
0.554 0.568 0.665
0.554 0.932 0.665
0.946 0.432 0.165
0.750 0.250 0.837
0.250 0.250 0.663
0.750 0.750 0.337
0.446 0.068 0.335
0.054 0.568 0.835
0.250 0.750 0.163
0.946 0.068 0.165
0.054 0.932 0.835
```

Output
ΔE to the lowest computed polymorph   0.240 eV per atom
Magnetization   0.000 μB per formula unit
Electronic total energy   -4.85 eV per atom